DFT (PBE) results for an optimized crystal structure of CdReSi2I.

POSCAR file:
```
CdReSi2I
1.0
-2.636 -3.785 0.767
3.719 -3.175 -2.888
2.354 -0.838 3.952
I Si Re Cd
1 2 1 1
Cartesian
1.719 -3.899 0.915 I
1.177 -0.419 1.976 Si
-1.318 -1.893 0.384 Si
0.000 0.000 0.000 Re
1.860 -1.588 -1.444 Cd
```

## Properties
N(E_F) in states/eV/atom: 0.52
Total magnetic moment in μB per cell: 0.000
E_tot in eV/atom: -4.70
Uncorrected formation energy in eV per formula unit: 2.3

DFT (PBE) results for an optimized crystal structure of Ta2CoPt.

POSCAR file:
```
Ta2CoPt
1.0
-7.802 -3.260 -3.392
-5.973 -4.843 -4.887
-6.764 -5.662 -2.281
Co Ta Pt
1 2 1
Cartesian
-5.135 -3.441 -2.640 Co
-20.442 -13.700 -10.511 Ta
-10.367 -6.948 -5.330 Ta
-15.405 -10.324 -7.920 Pt
```

## Properties
N(E_F) in states/eV/atom: 1.32
Formation enthalpy at 0 K in eV/atom: -0.0591
Total magnetic moment in μB per cell: 0.174
E_tot in eV/atom: -9.27

DFT (PBE) results for an optimized crystal structure of Li2Tb2YIn5.

POSCAR file:
```
Li2Tb2YIn5
1.0
-1.583 1.585 -3.797
-9.617 -2.245 3.073
-0.829 9.386 4.264
In Li Tb Y
10 4 4 2
Cartesian
-4.034 5.532 1.432 In
-2.895 1.008 -0.931 In
-1.206 5.486 0.233 In
-9.134 7.718 4.471 In
-5.129 2.535 0.638 In
-6.900 6.190 2.902 In
-9.875 0.706 1.854 In
-5.600 -0.330 -0.362 In
-7.996 3.193 2.108 In
-2.154 8.020 1.687 In
-8.785 1.596 4.330 Li
-6.686 6.876 5.658 Li
-3.760 0.265 1.679 Li
-1.661 5.545 3.007 Li
-8.494 4.482 5.413 Tb
-6.635 0.126 2.820 Tb
-1.951 2.659 1.924 Tb
-3.811 7.015 4.517 Tb
0.000 0.000 0.000 Y
-5.223 3.571 3.669 Y
```

## Properties
N(E_F) in states/eV/atom: 0.48
Formation enthalpy at 0 K in eV/atom: -0.3911
Total magnetic moment in μB per cell: 0.000
E_tot in eV/atom: -3.72

DFT (PBE) results for an optimized crystal structure of BaSn.

POSCAR file:
```
BaSn
1.0
7.162 0.000 0.000
0.000 7.162 0.000
0.000 0.000 7.162
Sn Ba
4 4
Cartesian
3.581 0.000 3.581 Sn
3.581 3.581 0.000 Sn
0.000 0.000 0.000 Sn
0.000 3.581 3.581 Sn
3.581 3.581 3.581 Ba
3.581 0.000 0.000 Ba
0.000 0.000 3.581 Ba
0.000 3.581 0.000 Ba
```

## Properties
N(E_F) in states/eV/atom: 2.45
Formation enthalpy at 0 K in eV/atom: -0.1677
Total magnetic moment in μB per cell: 1.613
E_tot in eV/atom: -3.13